Ac2Ni5B4 | PBE | relaxed

Raw total energy = -67.20 eV/cell

abc: 5.600 5.600 6.963
angles: 120.55 120.55 56.03
Element x y z (fractional)
1 Ac 0.226 0.226 0.148
2 Ac 0.774 0.774 0.852
3 Ni 0.171 0.675 0.625
4 Ni 0.325 0.829 0.375
5 Ni 0.500 0.500 0.000
6 Ni 0.675 0.171 0.625
7 Ni 0.829 0.325 0.375
8 B 0.097 0.097 0.629
9 B 0.279 0.279 0.656
10 B 0.721 0.721 0.344
11 B 0.903 0.903 0.371